Run i
The following is a PBE calculation of a relaxed structure of KNbP2S, from Alexandria via LeMat-Bulk.

The structure belongs to space group P4/mmm (No. 123); the cell edges are 4.946, 4.946 and 5.098 Å and the angles 90.00°, 90.00° and 90.00°. The asymmetric unit holds K at (0.000, 0.000, 0.000), Nb at (0.500, 0.500, 0.500), P at (0.000, 0.500, 0.000) and S at (0.000, 0.000, 0.500).

Its total magnetic moment is 1.3 μB per formula unit.


Run ii
The following is a PBE calculation of a relaxed structure of KNbP2S, from Alexandria via LeMat-Bulk.

The structure belongs to space group P4/mmm (No. 123); the cell edges are 4.913, 4.913 and 4.912 Å and the angles 90.00°, 90.00° and 90.00°. The asymmetric unit holds K at (0.000, 0.000, 0.000), Nb at (0.500, 0.500, 0.500), P at (0.000, 0.500, 0.500) and S at (0.500, 0.500, 0.000).

Its total magnetic moment is 0.4 μB per formula unit.


How do the energies compare? Relative to the most stable structure, in meV/atom: run i 2270; run ii 0.


Run i
The following is a PBE calculation of a relaxed structure of KNb3Pb, from Alexandria via LeMat-Bulk.

The structure belongs to space group Pm-3m (No. 221); the cell edges are 4.747, 4.747 and 4.747 Å and the angles 90.00°, 90.00° and 90.00°. The asymmetric unit holds K at (0.000, 0.000, 0.000), Nb at (0.000, 0.000, 0.500) and Pb at (0.500, 0.500, 0.500).

Its total magnetic moment is 0.0 μB per formula unit.


Run ii
The following is a PBE calculation of a relaxed structure of KNb3Pb, from Alexandria via LeMat-Bulk.

The structure belongs to space group Pm-3m (No. 221); the cell edges are 5.337, 5.337 and 5.337 Å and the angles 90.00°, 90.00° and 90.00°. The asymmetric unit holds K at (0.000, 0.000, 0.000), Nb at (0.000, 0.500, 0.500) and Pb at (0.500, 0.500, 0.500).

Its total magnetic moment is 0.0 μB per formula unit.


How do the energies compare? Relative to the most stable structure, in meV/atom: run i 405; run ii 0.


Run i
The following is a PBE calculation of a relaxed structure of K2NbPd, from Alexandria via LeMat-Bulk.

The structure belongs to space group Fm-3m (No. 225); the cell edges are 7.899, 7.899 and 7.899 Å and the angles 90.00°, 90.00° and 90.00°. The asymmetric unit holds K at (0.250, 0.250, 0.250), Nb at (0.000, 0.000, 0.000) and Pd at (0.000, 0.000, 0.500).

Its total magnetic moment is 4.8 μB per formula unit.


Run ii
The following is a PBE calculation of a relaxed structure of K2NbPd, from Alexandria via LeMat-Bulk.

The structure belongs to space group I-42d (No. 122); the cell edges are 12.015, 12.015 and 5.092 Å and the angles 90.00°, 90.00° and 90.00°. The asymmetric unit holds K at (0.093, 0.250, 0.125), Nb at (0.000, 0.000, 0.500) and Pd at (0.000, 0.000, 0.000).

Its total magnetic moment is 4.1 μB per formula unit.


How do the energies compare? Relative to the most stable structure, in meV/atom: run i 334; run ii 0.


Run i
The following is a PBE calculation of a relaxed structure of K2NbPt2, from Alexandria via LeMat-Bulk.

The structure belongs to space group I4/mmm (No. 139); the cell edges are 5.308, 5.308 and 8.808 Å and the angles 90.00°, 90.00° and 90.00°. The asymmetric unit holds K at (0.000, 0.000, 0.144), Nb at (0.000, 0.000, 0.500) and Pt at (0.000, 0.500, 0.250).

Its total magnetic moment is 0.3 μB per formula unit.


Run ii
The following is a PBE calculation of a relaxed structure of K2NbPt2, from Alexandria via LeMat-Bulk.

The structure belongs to space group P4/mbm (No. 127); the cell edges are 8.945, 8.945 and 2.778 Å and the angles 90.00°, 90.00° and 90.00°. The asymmetric unit holds K at (0.111, 0.389, 0.000), Nb at (0.000, 0.000, 0.000) and Pt at (0.192, 0.692, 0.500).

Its total magnetic moment is 1.0 μB per formula unit.


How do the energies compare? Relative to the most stable structure, in meV/atom: run i 621; run ii 0.


Run i
The following is a PBE calculation of a relaxed structure of KNb2Pt, from Alexandria via LeMat-Bulk.

The structure belongs to space group Fm-3m (No. 225); the cell edges are 6.679, 6.679 and 6.679 Å and the angles 90.00°, 90.00° and 90.00°. The asymmetric unit holds K at (0.000, 0.000, 0.000), Nb at (0.250, 0.250, 0.250) and Pt at (0.000, 0.000, 0.500).

Its total magnetic moment is 0.0 μB per formula unit.


Run ii
The following is a PBE calculation of a relaxed structure of KNb2Pt, from Alexandria via LeMat-Bulk.

The structure belongs to space group I-42d (No. 122); the cell edges are 4.500, 4.500 and 19.871 Å and the angles 90.00°, 90.00° and 90.00°. The asymmetric unit holds K at (0.000, 0.000, 0.000), Nb at (0.115, 0.250, 0.625) and Pt at (0.000, 0.000, 0.500).

Its total magnetic moment is 0.0 μB per formula unit.


How do the energies compare? Relative to the most stable structure, in meV/atom: run i 0; run ii 151.


Run i
The following is a PBE calculation of a relaxed structure of K2NbPt, from Alexandria via LeMat-Bulk.

The structure belongs to space group I-42d (No. 122); the cell edges are 11.841, 11.841 and 5.062 Å and the angles 90.00°, 90.00° and 90.00°. The asymmetric unit holds K at (0.098, 0.750, 0.125), Nb at (0.000, 0.000, 0.500) and Pt at (0.000, 0.000, 0.000).

Its total magnetic moment is 3.7 μB per formula unit.


Run ii
The following is a PBE calculation of a relaxed structure of K2NbPt, from Alexandria via LeMat-Bulk.

The structure belongs to space group Fm-3m (No. 225); the cell edges are 7.721, 7.721 and 7.721 Å and the angles 90.00°, 90.00° and 90.00°. The asymmetric unit holds K at (0.250, 0.250, 0.250), Nb at (0.000, 0.000, 0.000) and Pt at (0.000, 0.000, 0.500).

Its total magnetic moment is 4.8 μB per formula unit.


How do the energies compare? Relative to the most stable structure, in meV/atom: run i 0; run ii 504.